Entry 1:
Entry from Alexandria: a relaxed structure of Cs3KHf (GGA-PBE).

The structure belongs to space group Pm-3m (No. 221); the cell edges are 7.512, 7.512 and 7.512 Å and the angles 90.00°, 90.00° and 90.00°. The asymmetric unit holds Cs at (0.000, 0.000, 0.500), K at (0.500, 0.500, 0.500) and Hf at (0.000, 0.000, 0.000).

Its total DFT energy (no corrections) is -1.76 eV per atom. For the formation enthalpy at 0 K, the calculation gives 463 kJ/mol of formula units.

Entry 2:
Entry from Alexandria: a relaxed structure of HfPa2Rh5 (GGA-PBE).

The structure belongs to space group Pbam (No. 55); the cell edges are 5.832, 11.375 and 4.355 Å and the angles 90.00°, 90.00° and 90.00°. The asymmetric unit holds Hf at (0.000, 0.000, 0.000), Pa at (0.156, 0.354, 0.500), Rh at (0.000, 0.500, 0.000), Rh at (0.101, 0.753, 0.000) and Rh at (0.177, 0.105, 0.500).

Its total DFT energy (no corrections) is -9.06 eV per atom. For the formation enthalpy at 0 K, the calculation gives -653 kJ/mol of formula units.

Entry 3:
Entry from Alexandria: a relaxed structure of Pm3Y6Er2In (GGA-PBE).

The structure belongs to space group C2/m (No. 12); the cell edges are 6.161, 10.674 and 11.671 Å and the angles 90.00°, 100.18° and 90.00°. The asymmetric unit holds Pm at (0.000, 0.000, 0.000), Pm at (0.000, 0.333, 0.000), Y at (0.244, 0.336, 0.743), Y at (0.247, 0.500, 0.256), Er at (0.000, 0.166, 0.500) and In at (0.000, 0.500, 0.500).

Its total DFT energy (no corrections) is -5.45 eV per atom. For the formation enthalpy at 0 K, the calculation gives -43 kJ/mol of formula units.